one | An optimized crystal structure of BaHfZn. Source: OQMD, functional GGA-PBE.

The structure in extended XYZ format:
```
12
Lattice="7.212 0.000 0.000 0.000 7.212 0.000 0.000 0.000 7.212" Properties=species:S:1:pos:R:3 pbc="T T T"
Ba 0.000 0.000 0.000
Ba 0.000 3.606 3.606
Ba 3.606 0.000 3.606
Ba 3.606 3.606 0.000
Hf 1.803 1.803 5.409
Hf 1.803 5.409 1.803
Hf 5.409 1.803 1.803
Hf 5.409 5.409 5.409
Zn 1.803 1.803 1.803
Zn 1.803 5.409 5.409
Zn 5.409 1.803 5.409
Zn 5.409 5.409 1.803
```

Properties
volume = 31.26 Å³/atom


two | An optimized crystal structure of BaHfZn. Source: OQMD, functional GGA-PBE.

The structure in extended XYZ format:
```
6
Lattice="3.605 0.000 0.000 0.000 3.605 0.000 0.000 0.000 13.100" Properties=species:S:1:pos:R:3 pbc="T T T"
Ba 0.901 0.901 1.940
Ba 2.704 2.704 11.160
Hf 0.901 0.901 5.647
Hf 2.704 2.704 7.453
Zn 0.901 0.901 8.752
Zn 2.704 2.704 4.348
```

Properties
volume = 28.37 Å³/atom


two (1295 meV/atom below the next structure)


one | An optimized crystal structure of BaHoHg. Source: OQMD, functional GGA-PBE.

The structure in extended XYZ format:
```
12
Lattice="7.482 0.000 0.000 0.000 7.482 0.000 0.000 0.000 7.482" Properties=species:S:1:pos:R:3 pbc="T T T"
Ba 0.000 0.000 0.000
Ba 0.000 3.741 3.741
Ba 3.741 0.000 3.741
Ba 3.741 3.741 0.000
Ho 1.870 1.870 1.870
Ho 1.870 5.611 5.611
Ho 5.611 1.870 5.611
Ho 5.611 5.611 1.870
Hg 0.000 0.000 3.741
Hg 0.000 3.741 0.000
Hg 3.741 0.000 0.000
Hg 3.741 3.741 3.741
```

Properties
volume = 34.90 Å³/atom


two | An optimized crystal structure of BaHoHg. Source: OQMD, functional GGA-PBE.

The structure in extended XYZ format:
```
12
Lattice="7.678 0.000 0.000 0.000 7.678 0.000 0.000 0.000 7.678" Properties=species:S:1:pos:R:3 pbc="T T T"
Ba 0.000 0.000 0.000
Ba 0.000 3.839 3.839
Ba 3.839 0.000 3.839
Ba 3.839 3.839 0.000
Ho 1.920 1.920 1.920
Ho 1.920 5.759 5.759
Ho 5.759 1.920 5.759
Ho 5.759 5.759 1.920
Hg 1.920 1.920 5.759
Hg 1.920 5.759 1.920
Hg 5.759 1.920 1.920
Hg 5.759 5.759 5.759
```

Properties
volume = 37.72 Å³/atom


one (277 meV/atom below the next structure)


one | An optimized crystal structure of BaLiHg. Source: OQMD, functional GGA-PBE.

The structure in extended XYZ format:
```
6
Lattice="4.015 0.000 0.000 0.000 4.015 0.000 0.000 0.000 11.652" Properties=species:S:1:pos:R:3 pbc="T T T"
Ba 0.000 0.000 2.085
Ba 0.000 0.000 9.567
Li 2.008 2.008 4.551
Li 2.008 2.008 7.101
Hg 0.000 0.000 5.826
Hg 2.008 2.008 0.000
```

Properties
volume = 31.31 Å³/atom


two | An optimized crystal structure of BaLiHg. Source: OQMD, functional GGA-PBE.

The structure in extended XYZ format:
```
6
Lattice="4.021 0.000 0.000 0.000 4.021 0.000 0.000 0.000 11.419" Properties=species:S:1:pos:R:3 pbc="T T T"
Ba 0.000 0.000 0.000
Ba 2.010 2.010 5.709
Li 0.000 0.000 8.122
Li 2.010 2.010 2.413
Hg 0.000 0.000 3.569
Hg 2.010 2.010 9.278
```

Properties
volume = 30.77 Å³/atom


three | An optimized crystal structure of BaLiHg. Source: OQMD, functional GGA-PBE.

The structure in extended XYZ format:
```
6
Lattice="3.935 0.000 0.000 0.000 3.935 0.000 0.000 0.000 12.180" Properties=species:S:1:pos:R:3 pbc="T T T"
Ba 0.984 0.984 1.873
Ba 2.952 2.952 10.307
Li 0.984 0.984 5.332
Li 2.952 2.952 6.848
Hg 0.984 0.984 8.157
Hg 2.952 2.952 4.023
```

Properties
volume = 31.44 Å³/atom


two (18 meV/atom below the next structure)


one | An optimized crystal structure of BaNiHgSe3. Source: OQMD, functional GGA-PBE.

The structure in extended XYZ format:
```
12
Lattice="2.151 -6.236 0.000 2.151 6.236 0.000 0.000 0.000 11.461" Properties=species:S:1:pos:R:3 pbc="T T T"
Ba 2.151 3.425 8.596
Ba 2.151 -3.425 2.865
Ni 2.151 5.412 2.865
Ni 2.151 -5.412 8.596
Hg 2.151 0.000 0.000
Hg 2.151 0.000 5.730
Se 2.151 4.384 0.738
Se 2.151 4.384 4.993
Se 2.151 0.192 2.865
Se 2.151 -0.192 8.596
Se 2.151 -4.384 6.468
Se 2.151 -4.384 10.723
```

Properties
volume = 25.62 Å³/atom


two | An optimized crystal structure of BaNiHgSe3. Source: OQMD, functional GGA-PBE.

The structure in extended XYZ format:
```
12
Lattice="2.073 -7.067 0.000 2.073 7.067 0.000 0.000 0.000 10.656" Properties=species:S:1:pos:R:3 pbc="T T T"
Ba 2.073 3.782 7.992
Ba 2.073 -3.782 2.664
Ni 0.000 0.000 0.000
Ni 0.000 0.000 5.328
Hg 2.073 0.369 2.664
Hg 2.073 -0.369 7.992
Se 2.073 5.788 2.664
Se 2.073 1.681 0.392
Se 2.073 1.681 4.936
Se 2.073 -1.681 5.720
Se 2.073 -1.681 10.264
Se 2.073 -5.788 7.992
```

Properties
volume = 26.02 Å³/atom


one (117 meV/atom below the next structure)


one | An optimized crystal structure of BaNiHgTe3. Source: OQMD, functional GGA-PBE.

The structure in extended XYZ format:
```
12
Lattice="2.239 -6.712 0.000 2.239 6.712 0.000 0.000 0.000 11.973" Properties=species:S:1:pos:R:3 pbc="T T T"
Ba 2.239 3.887 8.980
Ba 2.239 -3.887 2.993
Ni 2.239 5.482 2.993
Ni 2.239 -5.482 8.980
Hg 2.239 0.000 0.000
Hg 2.239 0.000 5.987
Te 2.239 4.494 0.673
Te 2.239 4.494 5.314
Te 2.239 0.070 8.980
Te 2.239 -0.070 2.993
Te 2.239 -4.494 6.659
Te 2.239 -4.494 11.300
```

Properties
volume = 29.99 Å³/atom


two | An optimized crystal structure of BaNiHgTe3. Source: OQMD, functional GGA-PBE.

The structure in extended XYZ format:
```
12
Lattice="2.141 -7.379 0.000 2.141 7.379 0.000 0.000 0.000 11.552" Properties=species:S:1:pos:R:3 pbc="T T T"
Ba 2.141 3.957 8.664
Ba 2.141 -3.957 2.888
Ni 0.000 0.000 0.000
Ni 0.000 0.000 5.776
Hg 2.141 0.623 2.888
Hg 2.141 -0.623 8.664
Te 2.141 6.129 2.888
Te 2.141 1.753 0.315
Te 2.141 1.753 5.461
Te 2.141 -1.753 6.091
Te 2.141 -1.753 11.237
Te 2.141 -6.129 8.664
```

Properties
volume = 30.42 Å³/atom


one (141 meV/atom below the next structure)


one | An optimized crystal structure of Ba2HgOsS6. Source: OQMD, functional GGA-PBE.

The structure in extended XYZ format:
```
10
Lattice="0.000 4.973 4.973 4.973 0.000 4.973 4.973 4.973 0.000" Properties=species:S:1:pos:R:3 pbc="T T T"
Ba 2.487 2.487 2.487
Ba 7.460 7.460 7.460
Hg 0.000 0.000 0.000
Os 4.973 4.973 4.973
S 4.973 4.973 2.613
S 4.973 2.613 4.973
S 7.333 4.973 4.973
S 2.613 4.973 4.973
S 4.973 7.333 4.973
S 4.973 4.973 7.333
```

Properties
volume = 24.60 Å³/atom


two | An optimized crystal structure of Ba2HgOsS6. Source: OQMD, functional GGA-PBE.

The structure in extended XYZ format:
```
10
Lattice="6.333 0.000 0.000 2.931 5.897 0.000 3.123 0.787 6.533" Properties=species:S:1:pos:R:3 pbc="T T T"
Ba 3.073 1.800 1.521
Ba 9.315 4.884 5.011
Hg 0.000 0.000 0.000
Os 6.194 3.342 3.266
S 4.455 4.676 2.305
S 6.140 4.434 5.487
S 4.751 1.783 4.186
S 7.637 4.901 2.346
S 6.247 2.250 1.046
S 7.933 2.008 4.228
```

Properties
volume = 24.40 Å³/atom


two (89 meV/atom below the next structure)


one | An optimized crystal structure of Ba2HgPb. Source: OQMD, functional GGA-PBE.

The structure in extended XYZ format:
```
16
Lattice="8.490 0.000 0.000 0.000 8.490 0.000 0.000 0.000 8.490" Properties=species:S:1:pos:R:3 pbc="T T T"
Ba 2.123 2.123 2.123
Ba 2.123 2.123 6.368
Ba 2.123 6.368 2.123
Ba 2.123 6.368 6.368
Ba 6.368 2.123 2.123
Ba 6.368 2.123 6.368
Ba 6.368 6.368 2.123
Ba 6.368 6.368 6.368
Hg 0.000 0.000 0.000
Hg 0.000 4.245 4.245
Hg 4.245 0.000 4.245
Hg 4.245 4.245 0.000
Pb 0.000 0.000 4.245
Pb 0.000 4.245 0.000
Pb 4.245 0.000 0.000
Pb 4.245 4.245 4.245
```

Properties
volume = 38.25 Å³/atom


two | An optimized crystal structure of Ba2HgPb. Source: OQMD, functional GGA-PBE.

The structure in extended XYZ format:
```
16
Lattice="8.531 0.000 0.000 0.000 8.554 0.000 0.000 0.000 8.502" Properties=species:S:1:pos:R:3 pbc="T T T"
Ba 2.071 0.000 0.000
Ba 2.071 4.277 0.000
Ba 2.195 0.000 4.251
Ba 2.195 4.277 4.251
Ba 6.337 0.000 4.251
Ba 6.337 4.277 4.251
Ba 6.460 0.000 0.000
Ba 6.460 4.277 0.000
Hg 0.000 2.138 2.232
Hg 0.000 6.415 6.271
Hg 4.266 2.138 2.020
Hg 4.266 6.415 6.483
Pb 0.000 2.138 6.258
Pb 0.000 6.415 2.244
Pb 4.266 2.138 6.496
Pb 4.266 6.415 2.007
```

Properties
volume = 38.78 Å³/atom


three | An optimized crystal structure of Ba2HgPb. Source: OQMD, functional GGA-PBE.

The structure in extended XYZ format:
```
4
Lattice="5.886 0.000 0.000 0.000 5.886 0.000 0.000 0.000 4.379" Properties=species:S:1:pos:R:3 pbc="T T T"
Ba 0.000 2.943 0.000
Ba 2.943 0.000 0.000
Hg 0.000 0.000 2.190
Pb 2.943 2.943 2.190
```

Properties
volume = 37.94 Å³/atom


one (51 meV/atom below the next structure)


one | An optimized crystal structure of Ba2HgPb. Source: OQMD, functional GGA-PBE.

The structure in extended XYZ format:
```
8
Lattice="6.003 0.000 0.000 0.000 6.003 0.000 0.000 0.000 8.469" Properties=species:S:1:pos:R:3 pbc="T T T"
Ba 0.000 3.001 2.117
Ba 0.000 3.001 6.352
Ba 3.001 0.000 2.117
Ba 3.001 0.000 6.352
Hg 0.000 0.000 0.000
Hg 3.001 3.001 4.235
Pb 0.000 0.000 4.235
Pb 3.001 3.001 0.000
```

Properties
volume = 38.15 Å³/atom


two | An optimized crystal structure of Ba2HgPb. Source: OQMD, functional GGA-PBE.

The structure in extended XYZ format:
```
16
Lattice="8.364 0.000 0.000 0.000 8.364 0.000 0.000 0.000 8.364" Properties=species:S:1:pos:R:3 pbc="T T T"
Ba 0.000 0.000 0.000
Ba 0.000 4.182 4.182
Ba 2.091 2.091 2.091
Ba 2.091 6.273 6.273
Ba 4.182 0.000 4.182
Ba 4.182 4.182 0.000
Ba 6.273 2.091 6.273
Ba 6.273 6.273 2.091
Hg 0.000 0.000 4.182
Hg 0.000 4.182 0.000
Hg 4.182 0.000 0.000
Hg 4.182 4.182 4.182
Pb 2.091 2.091 6.273
Pb 2.091 6.273 2.091
Pb 6.273 2.091 2.091
Pb 6.273 6.273 6.273
```

Properties
volume = 36.58 Å³/atom


one (318 meV/atom below the next structure)


one | An optimized crystal structure of BaSrHgPb. Source: OQMD, functional GGA-PBE.

The structure in extended XYZ format:
```
16
Lattice="8.294 0.000 0.000 0.000 8.294 0.000 0.000 0.000 8.294" Properties=species:S:1:pos:R:3 pbc="T T T"
Ba 0.000 0.000 0.000
Ba 0.000 4.147 4.147
Ba 4.147 0.000 4.147
Ba 4.147 4.147 0.000
Sr 0.000 0.000 4.147
Sr 0.000 4.147 0.000
Sr 4.147 0.000 0.000
Sr 4.147 4.147 4.147
Hg 2.073 2.073 2.073
Hg 2.073 6.220 6.220
Hg 6.220 2.073 6.220
Hg 6.220 6.220 2.073
Pb 2.073 2.073 6.220
Pb 2.073 6.220 2.073
Pb 6.220 2.073 2.073
Pb 6.220 6.220 6.220
```

Properties
volume = 35.66 Å³/atom


two | An optimized crystal structure of BaSrHgPb. Source: OQMD, functional GGA-PBE.

The structure in extended XYZ format:
```
16
Lattice="8.214 0.000 0.000 0.000 8.214 0.000 0.000 0.000 8.214" Properties=species:S:1:pos:R:3 pbc="T T T"
Ba 0.000 0.000 0.000
Ba 0.000 4.107 4.107
Ba 4.107 0.000 4.107
Ba 4.107 4.107 0.000
Sr 2.053 2.053 6.160
Sr 2.053 6.160 2.053
Sr 6.160 2.053 2.053
Sr 6.160 6.160 6.160
Hg 2.053 2.053 2.053
Hg 2.053 6.160 6.160
Hg 6.160 2.053 6.160
Hg 6.160 6.160 2.053
Pb 0.000 0.000 4.107
Pb 0.000 4.107 0.000
Pb 4.107 0.000 0.000
Pb 4.107 4.107 4.107
```

Properties
volume = 34.63 Å³/atom


one (324 meV/atom below the next structure)


one | An optimized crystal structure of Ba2TaHgS6. Source: OQMD, functional GGA-PBE.

The structure in extended XYZ format:
```
10
Lattice="0.000 5.046 5.046 5.046 0.000 5.046 5.046 5.046 0.000" Properties=species:S:1:pos:R:3 pbc="T T T"
Ba 2.523 2.523 2.523
Ba 7.568 7.568 7.568
Ta 0.000 0.000 0.000
Hg 5.046 5.046 5.046
S 5.046 5.046 2.425
S 5.046 2.425 5.046
S 7.666 5.046 5.046
S 2.425 5.046 5.046
S 5.046 7.666 5.046
S 5.046 5.046 7.666
```

Properties
volume = 25.69 Å³/atom


two | An optimized crystal structure of Ba2TaHgS6. Source: OQMD, functional GGA-PBE.

The structure in extended XYZ format:
```
20
Lattice="6.789 0.000 0.000 0.000 7.424 0.000 -6.683 0.000 10.120" Properties=species:S:1:pos:R:3 pbc="T T T"
Ba -0.194 0.630 2.541
Ba -3.536 3.082 7.601
Ba 3.641 4.342 2.519
Ba 0.300 6.794 7.580
Ta 3.394 0.000 0.000
Ta 0.053 3.712 5.060
Hg -3.342 0.000 5.060
Hg 0.000 3.712 0.000
S -5.326 1.305 9.769
S -1.984 2.407 4.709
S -4.475 5.278 9.749
S -1.133 5.858 4.689
S -2.801 0.027 7.726
S 0.541 3.685 2.666
S -0.435 3.739 7.454
S 2.906 7.397 2.394
S 1.239 1.566 5.431
S 4.580 2.146 0.371
S 2.090 5.017 5.411
S 5.431 6.119 0.351
```

Properties
volume = 25.50 Å³/atom


two (59 meV/atom below the next structure)


one | An optimized crystal structure of BaSrHgSb2. Source: OQMD, functional GGA-PBE.

The structure in extended XYZ format:
```
10
Lattice="2.428 -9.285 0.000 2.428 9.285 0.000 0.000 0.000 7.896" Properties=species:S:1:pos:R:3 pbc="T T T"
Ba 2.428 5.525 3.948
Ba 2.428 -5.525 0.000
Sr 2.428 8.884 6.492
Sr 2.428 -8.884 2.544
Hg 2.428 1.733 5.246
Hg 2.428 -1.733 1.299
Sb 2.428 6.180 0.448
Sb 2.428 1.210 0.338
Sb 2.428 -1.210 4.286
Sb 2.428 -6.180 4.396
```

Properties
volume = 35.60 Å³/atom


two | An optimized crystal structure of BaSrHgSb2. Source: OQMD, functional GGA-PBE.

The structure in extended XYZ format:
```
10
Lattice="2.432 -8.842 0.000 2.432 8.842 0.000 0.000 0.000 8.507" Properties=species:S:1:pos:R:3 pbc="T T T"
Ba 2.432 8.244 4.254
Ba 2.432 -8.244 0.000
Sr 2.432 5.189 1.278
Sr 2.432 -5.189 5.532
Hg 2.432 1.609 2.891
Hg 2.432 -1.609 7.144
Sb 2.432 5.701 6.548
Sb 2.432 1.266 6.008
Sb 2.432 -1.266 1.754
Sb 2.432 -5.701 2.295
```

Properties
volume = 36.58 Å³/atom


one (41 meV/atom below the next structure)